Record 1
Below is a geometry-optimized BaP3 structure, with properties calculated at the PBE level.

Results
As for the volume: 22.574 Å³ per atom. As for the density of states at the Fermi level: 1.63 states/eV/cell. For the energy of formation, the calculation gives 0.325 eV/atom.

Unit cell a=5.315 b=5.315 c=5.315 alpha=128.11 beta=128.11 gamma=76.45
Fractional positions:
P1 0.500 0.500 0.000
Ba1 0.000 0.000 0.000
P2 0.750 0.250 0.500
P3 0.250 0.750 0.500


Record 2
Below is a geometry-optimized BaP structure, with properties calculated at the PBE level.

Results
As for the volume: 47.628 Å³ per atom. As for the density of states at the Fermi level: 3.98 states/eV/cell. For the energy of formation, the calculation gives -0.277 eV/atom.

Unit cell a=5.126 b=5.126 c=5.126 alpha=60.00 beta=60.00 gamma=60.00
Fractional positions:
Ba1 0.000 0.000 0.000
P1 0.750 0.750 0.750


Record 3
Below is a geometry-optimized BaP structure, with properties calculated at the PBE level.

Results
As for the volume: 48.536 Å³ per atom. As for the density of states at the Fermi level: 22.96 states/eV/cell. For the energy of formation, the calculation gives -0.423 eV/atom.

Unit cell a=10.953 b=10.953 c=6.473 alpha=90.00 beta=90.00 gamma=90.00
Fractional positions:
P1 0.140 0.360 0.000
P2 0.360 0.140 0.500
P3 0.360 0.860 0.000
Ba1 0.848 0.348 0.000
P4 0.860 0.360 0.500
Ba2 0.652 0.152 0.500
P5 0.640 0.860 0.500
Ba3 0.652 0.848 0.000
Ba4 0.348 0.848 0.500
P6 0.140 0.640 0.500
Ba5 0.152 0.348 0.500
Ba6 0.848 0.652 0.500
P7 0.860 0.640 0.000
Ba7 0.348 0.152 0.000
Ba8 0.152 0.652 0.000
P8 0.640 0.140 0.000


Question: Which value of volume does entry 1 give?
Answer: 22.574 Å³ per atom